Below is a relaxed PaCr2MoO8 crystal, with properties calculated at the PBE+U level.

Geometry as POSCAR:
```
PaCr2MoO8
1.0
-2.520 2.520 5.081
2.520 -2.520 5.081
2.520 2.520 -5.081
Pa Cr Mo O
1 2 1 8
direct
0.000 0.000 0.000
0.500 0.500 0.000
0.750 0.250 0.500
0.250 0.750 0.500
0.123 0.130 0.513
0.128 0.612 0.998
0.388 0.386 0.516
0.391 0.877 0.007
0.614 0.130 0.002
0.617 0.609 0.487
0.870 0.383 0.993
0.870 0.872 0.484
```

Output
The calculation puts the density at 7.190 g/cm3. Its space group is I-4. Its density of states at the Fermi level is 1.5 states/eV/f.u. As for the total energy: -8.018 eV/atom. As for the total magnetization: 7.00 Bohr magnetons per cell.



Below is a relaxed Cr2MoPbO8 crystal, with properties calculated at the PBE+U level.

Geometry as POSCAR:
```
Cr2MoPbO8
1.0
3.271 -3.354 0.000
3.271 3.354 0.000
0.000 0.000 6.434
Cr Mo Pb O
2 1 1 8
direct
0.000 0.000 0.241
0.000 0.000 0.759
0.500 0.500 0.000
0.500 0.500 0.500
0.181 0.181 0.500
0.199 0.199 0.000
0.300 0.700 0.218
0.300 0.700 0.782
0.700 0.300 0.218
0.700 0.300 0.782
0.801 0.801 0.000
0.819 0.819 0.500
```

Output
The calculation puts the density at 6.294 g/cm3. Its space group is Cmmm. Its density of states at the Fermi level is 0.7 states/eV/f.u. As for the total energy: -6.944 eV/atom. As for the total magnetization: 5.99 Bohr magnetons per cell.



Below is a relaxed CrMo2PbO crystal, with properties calculated at the PBE+U level.

Geometry as POSCAR:
```
CrMo2PbO
1.0
4.996 0.000 0.000
0.000 4.996 0.000
0.000 0.000 5.218
Cr Mo Pb O
1 2 1 1
direct
0.000 0.000 0.000
0.000 0.500 0.000
0.500 0.000 0.000
0.000 0.000 0.500
0.500 0.500 0.500
```

Output
The calculation puts the density at 5.956 g/cm3. Its space group is P4/mmm. Its density of states at the Fermi level is 2.7 states/eV/f.u. As for the total energy: -4.468 eV/atom. As for the total magnetization: 4.19 Bohr magnetons per cell.



Below is a relaxed PmCr2MoO8 crystal, with properties calculated at the PBE+U level.

Geometry as POSCAR:
```
PmCr2MoO8
1.0
4.760 0.000 0.000
0.000 6.449 0.000
-0.127 0.000 4.762
Pm Cr Mo O
1 2 1 8
direct
0.000 0.000 0.000
0.500 0.252 0.500
0.500 0.748 0.500
0.000 0.500 0.000
0.204 0.289 0.203
0.204 0.711 0.203
0.298 0.500 0.701
0.330 0.000 0.669
0.670 0.000 0.331
0.702 0.500 0.299
0.796 0.289 0.797
0.796 0.711 0.797
```

Output
The calculation puts the density at 5.372 g/cm3. Its space group is P2/m. Its density of states at the Fermi level is 5.3 states/eV/f.u. As for the total energy: -7.483 eV/atom. As for the total magnetization: 4.98 Bohr magnetons per cell.



Below is a relaxed PmCrMoO6 crystal, with properties calculated at the PBE+U level.

Geometry as POSCAR:
```
PmCrMoO6
1.0
5.202 0.000 0.000
-2.601 4.505 0.000
0.000 0.000 10.106
Pm Cr Mo O
2 2 2 12
direct
0.000 0.000 0.000
0.000 0.000 0.500
0.333 0.667 0.250
0.667 0.333 0.750
0.333 0.667 0.750
0.667 0.333 0.250
0.010 0.371 0.642
0.010 0.639 0.858
0.361 0.371 0.858
0.361 0.990 0.642
0.371 0.010 0.142
0.371 0.361 0.358
0.629 0.639 0.642
0.629 0.990 0.858
0.639 0.010 0.358
0.639 0.629 0.142
0.990 0.361 0.142
0.990 0.629 0.358
```

Output
The calculation puts the density at 5.454 g/cm3. Its space group is P-31c. Its density of states at the Fermi level is 0.0 states/eV/f.u. As for the total energy: -7.706 eV/atom. As for the total magnetization: 6.00 Bohr magnetons per cell.



Below is a relaxed CrSbMo2O crystal, with properties calculated at the PBE+U level.

Geometry as POSCAR:
```
CrSbMo2O
1.0
5.540 0.000 0.000
0.000 5.540 0.000
0.000 0.000 4.105
Cr Sb Mo O
1 1 2 1
direct
0.000 0.000 0.000
0.500 0.500 0.500
0.000 0.500 0.500
0.500 0.000 0.500
0.500 0.500 0.000
```

Output
The calculation puts the density at 5.031 g/cm3. Its space group is P4/mmm. Its density of states at the Fermi level is 6.9 states/eV/f.u. As for the total energy: -4.347 eV/atom. As for the total magnetization: 9.45 Bohr magnetons per cell.



Below is a relaxed ScCr2MoO crystal, with properties calculated at the PBE+U level.

Geometry as POSCAR:
```
ScCr2MoO
1.0
5.347 0.000 0.000
0.000 5.347 0.000
0.000 0.000 3.818
Sc Cr Mo O
1 2 1 1
direct
0.000 0.000 0.000
0.000 0.500 0.000
0.500 0.000 0.000
0.500 0.500 0.500
0.000 0.000 0.500
```

Output
The calculation puts the density at 3.969 g/cm3. Its space group is P4/mmm. Its density of states at the Fermi level is 2.8 states/eV/f.u. As for the total energy: -5.359 eV/atom. As for the total magnetization: 7.12 Bohr magnetons per cell.



Below is a relaxed Cr2SiMoO6 crystal, with properties calculated at the PBE+U level.

Geometry as POSCAR:
```
Cr2SiMoO6
1.0
5.046 0.000 0.000
2.518 4.384 0.000
0.053 2.763 4.733
Cr Si Mo O
2 1 1 6
direct
0.000 0.000 0.000
0.492 0.026 0.466
0.802 0.404 0.402
0.301 0.415 0.884
0.065 0.240 0.207
0.166 0.240 0.651
0.471 0.480 0.208
0.583 0.546 0.630
0.709 0.853 0.203
0.885 0.948 0.658
```

Output
The calculation puts the density at 5.140 g/cm3. Its space group is P1. As for the total energy: -7.691 eV/atom. As for the total magnetization: 4.00 Bohr magnetons per cell.



Below is a relaxed CrSiMoO6 crystal, with properties calculated at the PBE+U level.

Geometry as POSCAR:
```
CrSiMoO6
1.0
4.491 0.000 0.000
0.000 4.491 0.000
0.000 0.000 8.937
Cr Si Mo O
2 2 2 12
direct
0.000 0.000 0.000
0.500 0.500 0.500
0.000 0.000 0.666
0.500 0.500 0.166
0.000 0.000 0.334
0.500 0.500 0.834
0.187 0.187 0.513
0.189 0.189 0.818
0.213 0.213 0.166
0.287 0.713 0.666
0.311 0.689 0.318
0.313 0.687 0.013
0.687 0.313 0.013
0.689 0.311 0.318
0.713 0.287 0.666
0.787 0.787 0.166
0.811 0.811 0.818
0.813 0.813 0.513
```

Output
The calculation puts the density at 5.012 g/cm3. Its space group is P4_2nm. Its density of states at the Fermi level is 0.0 states/eV/f.u. As for the total energy: -7.567 eV/atom. As for the total magnetization: 8.00 Bohr magnetons per cell.



Below is a relaxed CrSnMo2O crystal, with properties calculated at the PBE+U level.

Geometry as POSCAR:
```
CrSnMo2O
1.0
4.221 0.000 0.000
0.000 4.221 0.000
0.000 0.000 4.921
Cr Sn Mo O
1 1 2 1
direct
0.000 0.000 0.000
0.500 0.500 0.000
0.000 0.500 0.500
0.500 0.000 0.500
0.500 0.500 0.500
```

Output
The calculation puts the density at 7.170 g/cm3. Its space group is P4/mmm. Its density of states at the Fermi level is 2.1 states/eV/f.u. As for the total energy: -5.629 eV/atom. As for the total magnetization: 7.62 Bohr magnetons per cell.



Below is a relaxed SrCrMo2O8 crystal, with properties calculated at the PBE+U level.

Geometry as POSCAR:
```
SrCrMo2O8
1.0
2.612 1.508 7.230
-2.612 1.508 7.230
0.000 -3.016 7.230
Sr Cr Mo O
1 1 2 8
direct
0.000 0.000 0.000
0.500 0.500 0.500
0.242 0.242 0.242
0.758 0.758 0.758
0.120 0.772 0.442
0.228 0.558 0.880
0.325 0.325 0.325
0.442 0.120 0.772
0.558 0.880 0.228
0.675 0.675 0.675
0.772 0.442 0.120
0.880 0.228 0.558
```

Output
The calculation puts the density at 4.465 g/cm3. Its space group is R-3. Its density of states at the Fermi level is 4.8 states/eV/f.u. As for the total energy: -7.059 eV/atom. As for the total magnetization: 4.00 Bohr magnetons per cell.



Below is a relaxed SrCrMoO6 crystal, with properties calculated at the PBE+U level.

Geometry as POSCAR:
```
SrCrMoO6
1.0
5.146 0.000 0.000
-2.509 4.527 0.000
-0.073 -0.070 5.401
Sr Cr Mo O
1 1 1 6
direct
0.000 0.000 0.000
0.332 0.676 0.515
0.673 0.335 0.494
0.004 0.615 0.302
0.378 0.377 0.308
0.383 0.994 0.706
0.615 0.612 0.706
0.623 0.000 0.306
0.994 0.386 0.713
```

Output
The calculation puts the density at 4.376 g/cm3. Its space group is P1. As for the total energy: -7.091 eV/atom. As for the total magnetization: 2.00 Bohr magnetons per cell.